[1]
Material: TaMoBr3
Method: DFT, PBE-GGA
State: optimized geometry

Properties
- energy above the most stable polymorph in this dataset (eV/f.u.) = 1.70
- formation energy without anion corrections (eV per atom) = 1.189

```
TaMoBr3
1.0
5.3000 0.0000 0.0000
0.0000 5.3000 0.0000
0.0000 0.0000 5.3000
Ta Mo Br
1 1 3
Direct
0.0000 0.0000 0.0000 Ta
0.5000 0.5000 0.5000 Mo
0.0000 0.5000 0.5000 Br
0.5000 0.0000 0.5000 Br
0.5000 0.5000 0.0000 Br
```


[2]
Material: Ta2MoBr
Method: DFT, PBE-GGA
State: optimized geometry

Properties
- energy above the most stable polymorph in this dataset (eV/f.u.) = 2.09
- formation energy without anion corrections (eV per atom) = 0.796

```
Ta2MoBr
1.0
-2.1911 2.1911 3.7306
2.1911 -2.1911 3.7306
2.1911 2.1911 -3.7306
Ta Mo Br
2 1 1
Direct
0.2500 0.7500 0.5000 Ta
0.7500 0.2500 0.5000 Ta
0.0000 0.0000 0.0000 Mo
0.5000 0.5000 0.0000 Br
```


Total moment values (in μB per formula unit) by entry order: 7.90; 0.00.